Record 1
Here is a geometry-optimized Li2P2Pd5Au structure from Alexandria. Energies are from GGA-PBE.

Unit cell a=3.439 b=9.571 c=9.571 alpha=90.00 beta=90.00 gamma=90.00
Sites, in units of the cell vectors:
P 0.000 0.869 0.369
P 0.000 0.631 0.869
P 0.000 0.131 0.631
P 0.000 0.369 0.131
Li 0.000 0.171 0.329
Li 0.000 0.329 0.829
Li 0.000 0.829 0.671
Li 0.000 0.671 0.171
Pd 0.500 0.425 0.290
Pd 0.500 0.210 0.075
Pd 0.500 0.000 0.500
Pd 0.500 0.790 0.925
Pd 0.500 0.925 0.210
Pd 0.500 0.075 0.790
Pd 0.500 0.710 0.425
Pd 0.500 0.575 0.710
Pd 0.500 0.500 0.000
Pd 0.500 0.290 0.575
Au 0.000 0.500 0.500
Au 0.000 0.000 0.000

Computed properties:
calculated formation energy = -0.4937 eV per atom

Record 2
Here is a geometry-optimized Tm3Sn structure from Alexandria. Energies are from GGA-PBE.

Unit cell a=3.470 b=5.380 c=5.910 alpha=90.00 beta=90.00 gamma=90.00
Sites, in units of the cell vectors:
Sn 0.000 0.500 0.328
Tm 0.500 0.000 0.492
Tm 0.500 0.500 0.841
Tm 0.000 0.000 0.005

Computed properties:
calculated formation energy = -0.2914 eV per atom

Record 3
Here is a geometry-optimized NdSiRh structure from Alexandria. Energies are from GGA-PBE.

Unit cell a=7.090 b=7.090 c=6.637 alpha=107.64 beta=107.64 gamma=115.63
Sites, in units of the cell vectors:
Nd 0.625 0.375 0.250
Nd 0.125 0.375 0.750
Nd 0.625 0.375 0.750
Nd 0.625 0.875 0.250
Rh 0.865 0.865 0.730
Rh 0.135 0.135 0.270
Rh 0.385 0.885 0.770
Rh 0.115 0.615 0.230
Si 0.159 0.841 0.000
Si 0.841 0.159 0.000
Si 0.091 0.909 0.500
Si 0.409 0.591 0.500

Computed properties:
E_form (uncorrected) = -200 kJ/mol of formula units

Record 4
Here is a geometry-optimized Sm4Cd2Co structure from Alexandria. Energies are from GGA-PBE.

Unit cell a=5.162 b=5.162 c=8.721 alpha=107.21 beta=107.21 gamma=90.00
Sites, in units of the cell vectors:
Sm 0.000 0.500 0.000
Sm 0.826 0.826 0.651
Sm 0.174 0.174 0.349
Sm 0.500 0.000 0.000
Cd 0.630 0.630 0.260
Cd 0.370 0.370 0.740
Co 0.000 0.000 0.000

Computed properties:
calculated formation energy = -0.0640 eV per atom

Record 5
Here is a geometry-optimized KPt2Br structure from Alexandria. Energies are from GGA-PBE.

Unit cell a=6.123 b=6.123 c=6.123 alpha=144.48 beta=123.12 gamma=68.88
Sites, in units of the cell vectors:
Br 0.422 0.422 0.000
Pt 0.088 0.088 0.000
Pt 0.254 0.754 0.500
K 0.736 0.236 0.500

Computed properties:
E_form (uncorrected) = -8 kJ/mol of formula units

Record 6
Here is a geometry-optimized Li2SbS structure from Alexandria. Energies are from GGA-PBE.

Unit cell a=7.390 b=7.390 c=5.940 alpha=51.53 beta=51.53 gamma=90.00
Sites, in units of the cell vectors:
Li 0.875 0.806 0.750
Li 0.556 0.125 0.250
Li 0.375 0.444 0.750
Li 0.194 0.625 0.250
Sb 0.000 0.000 0.000
Sb 0.750 0.250 0.500
S 0.500 0.500 0.000
S 0.250 0.750 0.500

Computed properties:
E_form (uncorrected) = -220 kJ/mol of formula units

The evaluated V for the records listed, in turn: 15.749; 27.581; 20.611; 30.151; 27.494; 19.279 A^3/atom.
The evaluated final energy for the records listed, in turn: -4.8826; -4.6458; -6.5368; -4.0372; -3.7336; -3.5899 eV/atom.